First-principles (PBE-GGA) data for crystalline TlZn2Re at its relaxed geometry, as listed in the Alexandria database.

Structure (CIF):
```
data_TlZn2Re
_chemical_formula_sum 'Tl1 Zn2 Re1'
_symmetry_space_group_name_H-M 'P 4/m m m'
_symmetry_Int_Tables_number 123
_symmetry_space_group_name_Hall '-P 4 2'
_cell_length_a 2.8956
_cell_length_b 2.8956
_cell_length_c 8.8491
_cell_angle_alpha 90.00
_cell_angle_beta 90.00
_cell_angle_gamma 90.00
loop_
_atom_site_label
_atom_site_type_symbol
_atom_site_fract_x
_atom_site_fract_y
_atom_site_fract_z
_atom_site_occupancy
Tl1 Tl 0.0000 0.0000 0.0000 1
Zn1 Zn 0.5000 0.5000 0.3006 1
Re1 Re 0.0000 0.0000 0.5000 1
```

The calculation puts the distance to the lowest polymorph of the same formula at 0 meV per atom. The crystal system is tetragonal. The value obtained for the energy of formation is 45.6 kJ per mole of atoms.

First-principles (PBE-GGA) data for crystalline Li2NbIn4 at its relaxed geometry, as listed in the Alexandria database.

Structure (CIF):
```
data_Li2NbIn4
_chemical_formula_sum 'Li4 Nb2 In8'
_symmetry_space_group_name_H-M 'I 4/m m m'
_symmetry_Int_Tables_number 139
_symmetry_space_group_name_Hall '-I 4 2'
_cell_length_a 6.5172
_cell_length_b 6.5172
_cell_length_c 7.0623
_cell_angle_alpha 90.00
_cell_angle_beta 90.00
_cell_angle_gamma 90.00
loop_
_atom_site_label
_atom_site_type_symbol
_atom_site_fract_x
_atom_site_fract_y
_atom_site_fract_z
_atom_site_occupancy
Li1 Li 0.0000 0.5000 0.0000 1
Nb1 Nb 0.0000 0.0000 0.0000 1
In1 In 0.2500 0.2500 0.2500 1
```

The crystal system is tetragonal. The value obtained for the energy of formation is -16.8 kJ per mole of atoms.

First-principles (PBE-GGA) data for crystalline HgP2F at its relaxed geometry, as listed in the Alexandria database.

Structure (CIF):
```
data_HgP2F
_chemical_formula_sum 'Hg4 P8 F4'
_symmetry_space_group_name_H-M 'F m -3 m'
_symmetry_Int_Tables_number 225
_symmetry_space_group_name_Hall '-F 4 2 3'
_cell_length_a 6.3338
_cell_length_b 6.3338
_cell_length_c 6.3338
_cell_angle_alpha 90.00
_cell_angle_beta 90.00
_cell_angle_gamma 90.00
loop_
_atom_site_label
_atom_site_type_symbol
_atom_site_fract_x
_atom_site_fract_y
_atom_site_fract_z
_atom_site_occupancy
Hg1 Hg 0.0000 0.0000 0.0000 1
P1 P 0.2500 0.2500 0.2500 1
F1 F 0.0000 0.0000 0.5000 1
```

The calculation puts the distance to the lowest polymorph of the same formula at 376 meV per atom. For the formation energy (no corrections), the calculation gives 21.8 kJ/mol of atoms. The crystal system is cubic.

First-principles (PBE-GGA) data for crystalline HfNbTc3 at its relaxed geometry, as listed in the Alexandria database.

Structure (CIF):
```
data_HfNbTc3
_chemical_formula_sum 'Hf1 Nb1 Tc3'
_symmetry_space_group_name_H-M 'P m -3 m'
_symmetry_Int_Tables_number 221
_symmetry_space_group_name_Hall '-P 4 2 3'
_cell_length_a 4.6741
_cell_length_b 4.6741
_cell_length_c 4.6741
_cell_angle_alpha 90.00
_cell_angle_beta 90.00
_cell_angle_gamma 90.00
loop_
_atom_site_label
_atom_site_type_symbol
_atom_site_fract_x
_atom_site_fract_y
_atom_site_fract_z
_atom_site_occupancy
Hf1 Hf 0.0000 0.0000 0.0000 1
Nb1 Nb 0.5000 0.5000 0.5000 1
Tc1 Tc 0.0000 0.5000 0.5000 1
```

The calculation puts the distance to the lowest polymorph of the same formula at 0 meV per atom. The crystal system is cubic. The value obtained for the energy of formation is 121.5 kJ per mole of atoms.

First-principles (PBE-GGA) data for crystalline TlGePS2 at its relaxed geometry, as listed in the Alexandria database.

Structure (CIF):
```
data_TlGePS2
_chemical_formula_sum 'Tl1 Ge1 P1 S2'
_symmetry_space_group_name_H-M 'P 4/m m m'
_symmetry_Int_Tables_number 123
_symmetry_space_group_name_Hall '-P 4 2'
_cell_length_a 5.1016
_cell_length_b 5.1016
_cell_length_c 5.0634
_cell_angle_alpha 90.00
_cell_angle_beta 90.00
_cell_angle_gamma 90.00
loop_
_atom_site_label
_atom_site_type_symbol
_atom_site_fract_x
_atom_site_fract_y
_atom_site_fract_z
_atom_site_occupancy
Tl1 Tl 0.0000 0.0000 0.0000 1
Ge1 Ge 0.5000 0.5000 0.5000 1
P1 P 0.0000 0.0000 0.5000 1
S1 S 0.0000 0.5000 0.0000 1
```

The calculation puts the distance to the lowest polymorph of the same formula at 687 meV per atom. For the formation energy (no corrections), the calculation gives 100.4 kJ/mol of atoms. The crystal system is tetragonal.

First-principles (PBE-GGA) data for crystalline YAg2As2 at its relaxed geometry, as listed in the Alexandria database.

Structure (CIF):
```
data_YAg2As2
_chemical_formula_sum 'Y2 Ag4 As4'
_symmetry_space_group_name_H-M 'P 4/m b m'
_symmetry_Int_Tables_number 127
_symmetry_space_group_name_Hall '-P 4 2ab'
_cell_length_a 7.7741
_cell_length_b 7.7741
_cell_length_c 3.4705
_cell_angle_alpha 90.00
_cell_angle_beta 90.00
_cell_angle_gamma 90.00
loop_
_atom_site_label
_atom_site_type_symbol
_atom_site_fract_x
_atom_site_fract_y
_atom_site_fract_z
_atom_site_occupancy
Y1 Y 0.0000 0.0000 0.0000 1
Ag1 Ag 0.1356 0.3644 0.5000 1
As1 As 0.1646 0.6646 0.0000 1
```

The calculation puts the distance to the lowest polymorph of the same formula at 187 meV per atom. The crystal system is tetragonal. The value obtained for the energy of formation is -23.1 kJ per mole of atoms.

First-principles (PBE-GGA) data for crystalline Tm3ZnPd3 at its relaxed geometry, as listed in the Alexandria database.

Structure (CIF):
```
data_Tm3ZnPd3
_chemical_formula_sum 'Tm12 Zn4 Pd12'
_symmetry_space_group_name_H-M 'C m c m'
_symmetry_Int_Tables_number 63
_symmetry_space_group_name_Hall '-C 2c 2'
_cell_length_a 4.0081
_cell_length_b 10.3420
_cell_length_c 14.1119
_cell_angle_alpha 90.00
_cell_angle_beta 90.00
_cell_angle_gamma 90.00
loop_
_atom_site_label
_atom_site_type_symbol
_atom_site_fract_x
_atom_site_fract_y
_atom_site_fract_z
_atom_site_occupancy
Tm1 Tm 0.0000 0.0380 0.2500 1
Tm2 Tm 0.0000 0.3100 0.1037 1
Zn1 Zn 0.0000 0.0000 0.0000 1
Pd1 Pd 0.0000 0.2360 0.7500 1
Pd2 Pd 0.0000 0.4041 0.5939 1
```

The crystal system is orthorhombic. The value obtained for the energy of formation is -80.2 kJ per mole of atoms.

First-principles (PBE-GGA) data for crystalline Sm2Ga2Pd3 at its relaxed geometry, as listed in the Alexandria database.

Structure (CIF):
```
data_Sm2Ga2Pd3
_chemical_formula_sum 'Sm8 Ga8 Pd12'
_symmetry_space_group_name_H-M 'C m c m'
_symmetry_Int_Tables_number 63
_symmetry_space_group_name_Hall '-C 2c 2'
_cell_length_a 4.1255
_cell_length_b 19.2416
_cell_length_c 7.2187
_cell_angle_alpha 90.00
_cell_angle_beta 90.00
_cell_angle_gamma 90.00
loop_
_atom_site_label
_atom_site_type_symbol
_atom_site_fract_x
_atom_site_fract_y
_atom_site_fract_z
_atom_site_occupancy
Sm1 Sm 0.0000 0.0597 0.2500 1
Sm2 Sm 0.0000 0.1519 0.7500 1
Ga1 Ga 0.0000 0.3077 0.5558 1
Pd1 Pd 0.0000 0.2262 0.2500 1
Pd2 Pd 0.0000 0.4346 0.0551 1
```

The calculation puts the distance to the lowest polymorph of the same formula at 11 meV per atom. The crystal system is orthorhombic. The value obtained for the energy of formation is -77.9 kJ per mole of atoms.

First-principles (PBE-GGA) data for crystalline Ce2ScIn4 at its relaxed geometry, as listed in the Alexandria database.

Structure (CIF):
```
data_Ce2ScIn4
_chemical_formula_sum 'Ce4 Sc2 In8'
_symmetry_space_group_name_H-M 'C m m m'
_symmetry_Int_Tables_number 65
_symmetry_space_group_name_Hall '-C 2 2'
_cell_length_a 6.1536
_cell_length_b 11.6282
_cell_length_c 6.1655
_cell_angle_alpha 90.00
_cell_angle_beta 90.00
_cell_angle_gamma 90.00
loop_
_atom_site_label
_atom_site_type_symbol
_atom_site_fract_x
_atom_site_fract_y
_atom_site_fract_z
_atom_site_occupancy
Ce1 Ce 0.0000 0.1180 0.0000 1
Sc1 Sc 0.0000 0.5000 0.5000 1
In1 In 0.0000 0.1322 0.5000 1
In2 In 0.0000 0.3822 0.0000 1
```

The crystal system is orthorhombic. The value obtained for the energy of formation is 23.4 kJ per mole of atoms.

First-principles (PBE-GGA) data for crystalline KAlGe2 at its relaxed geometry, as listed in the Alexandria database.

Structure (CIF):
```
data_KAlGe2
_chemical_formula_sum 'K4 Al4 Ge8'
_symmetry_space_group_name_H-M 'I 41/a m d'
_symmetry_Int_Tables_number 141
_cell_length_a 5.3899
_cell_length_b 5.3899
_cell_length_c 16.8075
_cell_angle_alpha 90.00
_cell_angle_beta 90.00
_cell_angle_gamma 90.00
loop_
_symmetry_equiv_pos_as_xyz
'x,y,z'
'-x,-y,-z'
'-y+1/4,x+3/4,z+1/4'
'y+1/4,-x+3/4,-z+1/4'
'-x+1/2,-y,z+1/2'
'x+1/2,y,-z+1/2'
'y+1/4,-x+1/4,z+3/4'
'-y+1/4,x+1/4,-z+3/4'
'x,-y,-z'
'-x,y,z'
'-y+1/4,-x+1/4,-z+3/4'
'y+1/4,x+1/4,z+3/4'
'-x+1/2,y,-z+1/2'
'x+1/2,-y,z+1/2'
'y+1/4,x+3/4,-z+1/4'
'-y+1/4,-x+3/4,z+1/4'
'x+1/2,y+1/2,z+1/2'
'-x+1/2,-y+1/2,-z+1/2'
'-y+3/4,x+1/4,z+3/4'
'y+3/4,-x+1/4,-z+3/4'
'-x,-y+1/2,z'
'x,y+1/2,-z'
'y+3/4,-x+3/4,z+1/4'
'-y+3/4,x+3/4,-z+1/4'
'x+1/2,-y+1/2,-z+1/2'
'-x+1/2,y+1/2,z+1/2'
'-y+3/4,-x+3/4,-z+1/4'
'y+3/4,x+3/4,z+1/4'
'-x,y+1/2,-z'
'x,-y+1/2,z'
'y+3/4,x+1/4,-z+3/4'
'-y+3/4,-x+1/4,z+3/4'
loop_
_atom_site_label
_atom_site_type_symbol
_atom_site_fract_x
_atom_site_fract_y
_atom_site_fract_z
_atom_site_occupancy
K1 K 0.0000 0.2500 0.3750 1
Al1 Al 0.0000 0.2500 0.8750 1
Ge1 Ge 0.0000 0.0000 0.0000 1
```

The crystal system is tetragonal. The value obtained for the energy of formation is 9.7 kJ per mole of atoms.

First-principles (PBE-GGA) data for crystalline CuSn2Cl at its relaxed geometry, as listed in the Alexandria database.

Structure (CIF):
```
data_CuSn2Cl
_chemical_formula_sum 'Cu4 Sn8 Cl4'
_symmetry_space_group_name_H-M 'I -4 2 d'
_symmetry_Int_Tables_number 122
_symmetry_space_group_name_Hall 'I -4 2bw'
_cell_length_a 6.1622
_cell_length_b 6.1622
_cell_length_c 12.8361
_cell_angle_alpha 90.00
_cell_angle_beta 90.00
_cell_angle_gamma 90.00
loop_
_atom_site_label
_atom_site_type_symbol
_atom_site_fract_x
_atom_site_fract_y
_atom_site_fract_z
_atom_site_occupancy
Cu1 Cu 0.0000 0.0000 0.0000 1
Sn1 Sn 0.1795 0.2500 0.1250 1
Cl1 Cl 0.0000 0.0000 0.5000 1
```

For the formation energy (no corrections), the calculation gives 2.9 kJ/mol of atoms. The crystal system is tetragonal.

First-principles (PBE-GGA) data for crystalline ZrScBe2 at its relaxed geometry, as listed in the Alexandria database.

Structure (CIF):
```
data_ZrScBe2
_chemical_formula_sum 'Zr4 Sc4 Be8'
_symmetry_space_group_name_H-M 'F m -3 m'
_symmetry_Int_Tables_number 225
_symmetry_space_group_name_Hall '-F 4 2 3'
_cell_length_a 6.3221
_cell_length_b 6.3221
_cell_length_c 6.3221
_cell_angle_alpha 90.00
_cell_angle_beta 90.00
_cell_angle_gamma 90.00
loop_
_atom_site_label
_atom_site_type_symbol
_atom_site_fract_x
_atom_site_fract_y
_atom_site_fract_z
_atom_site_occupancy
Zr1 Zr 0.0000 0.0000 0.0000 1
Sc1 Sc 0.0000 0.0000 0.5000 1
Be1 Be 0.2500 0.2500 0.2500 1
```

The calculation puts the distance to the lowest polymorph of the same formula at 3 meV per atom. The crystal system is cubic. The value obtained for the energy of formation is -6.5 kJ per mole of atoms.

no.,Fermi-level density of states (states/eV/atom),electronic total energy (eV per atom)
1,0.95,-3.87
2,0.37,-3.72
3,0.38,-3.02
4,1.74,-8.96
5,1.16,-3.09
6,0.61,-4.53
7,0.57,-5.15
8,0.58,-5.25
9,2.03,-3.92
10,0.31,-3.42
11,0.00,-3.46
12,0.78,-5.65